{
  "formula": "MgSi",
  "functional": "GGA-PBE",
  "state": "optimized geometry",
  "lattice_angstrom": [[6.0833, 0.0000, 0.0000], [0.0000, 5.2018, 0.0000], [0.0000, 0.0000, 9.7253]],
  "species": ["Mg", "Mg", "Mg", "Mg", "Mg", "Mg", "Mg", "Mg", "Si", "Si", "Si", "Si", "Si", "Si", "Si", "Si"],
  "fractional_positions": [[0.9975, 0.8908, 0.0053], [0.4975, 0.6092, 0.9947], [0.0025, 0.3908, 0.4947], [0.5025, 0.1092, 0.5053], [0.1376, 0.3847, 0.8139], [0.6377, 0.1153, 0.1861], [0.8624, 0.8847, 0.6861], [0.3624, 0.6153, 0.3139], [0.5919, 0.1226, 0.8951], [0.0919, 0.3774, 0.1049], [0.4081, 0.6226, 0.6049], [0.9081, 0.8774, 0.3951], [0.2883, 0.8945, 0.7906], [0.7883, 0.6055, 0.2094], [0.7117, 0.3945, 0.7094], [0.2117, 0.1055, 0.2906]],
  "raw_formation_energy_mev_per_atom": -7,
  "spacegroup": "No. 19",
  "total_energy_ev_per_atom": -3.52
}